Here is TlTeW after structural relaxation from Alexandria via LeMat-Bulk. Energies are from GGA-PBEsol.

ΔE to the lowest computed polymorph: 4.00 eV per formula unit
Magnetization: 13.70 Bohr magnetons per cell
Fermi-level density of states: 0.6580 states/eV/atom
ΔE_f (raw): 1.850 eV/atom
ρ: 10.5 g/cm³

Lattice parameters (Å, degrees): 6.894 6.894 6.894 90.00 90.00 90.00
Space group F-43m (No. 216)
Unique sites:
Tl1 0.000 0.000 0.000 [4 per cell]
Te1 0.250 0.250 0.750 [4 per cell]
W1 0.250 0.250 0.250 [4 per cell]